*P*
The following is a PBE calculation of crystalline NbOsBr2 at its relaxed geometry, from Alexandria.

```
data_NbOsBr2
_cell_length_a 6.521
_cell_length_b 6.521
_cell_length_c 6.521
_cell_angle_alpha 90.00
_cell_angle_beta 90.00
_cell_angle_gamma 90.00
_space_group_name_H-M_alt 'F m -3 m'
_space_group_IT_number 225
_space_group_name_Hall '-F 4 2 3'
loop_
_atom_site_label
_atom_site_fract_x
_atom_site_fract_y
_atom_site_fract_z
Nb1 0.000 0.000 0.000
Os1 0.000 0.000 0.500
Br1 0.250 0.250 0.250
```

Values from the calculation:
Density ... 10.6 Mg/m³
Fermi-level density of states ... 20.65 states/eV/cell

=====

*Q*
The following is a PBE calculation of crystalline NbOsBr2 at its relaxed geometry, from Alexandria.

```
data_NbOsBr2
_cell_length_a 5.754
_cell_length_b 5.754
_cell_length_c 11.515
_cell_angle_alpha 90.00
_cell_angle_beta 90.00
_cell_angle_gamma 90.00
_space_group_name_H-M_alt 'I -4 2 d'
_space_group_IT_number 122
_space_group_name_Hall 'I -4 2bw'
loop_
_atom_site_label
_atom_site_fract_x
_atom_site_fract_y
_atom_site_fract_z
Nb1 0.000 0.000 0.000
Os1 0.000 0.000 0.500
Br1 0.234 0.250 0.625
```

Values from the calculation:
Density ... 7.7 Mg/m³
Fermi-level density of states ... 12.02 states/eV/cell

=====

*R*
The following is a PBE calculation of crystalline NbOsBr2 at its relaxed geometry, from Alexandria.

```
data_NbOsBr2
_cell_length_a 3.1673
_cell_length_b 3.1673
_cell_length_c 26.1064
_cell_angle_alpha 90.00
_cell_angle_beta 90.00
_cell_angle_gamma 120.00
_space_group_name_H-M_alt 'R -3 m'
_space_group_IT_number 166
_space_group_name_Hall '-R 3 2"'
loop_
_atom_site_label
_atom_site_fract_x
_atom_site_fract_y
_atom_site_fract_z
Nb1 0.0000 0.0000 0.0000
Os1 0.0000 0.0000 0.5000
Br1 0.0000 0.0000 0.4076
```

Values from the calculation:
Density ... 9.7 Mg/m³
Fermi-level density of states ... 11.30 states/eV/cell

=====

Result of the stability comparison: *Q* is the least stable of them.

=====

*P*
The following is a PBE calculation of crystalline Nb2OsBr at its relaxed geometry, from Alexandria.

```
data_Nb2OsBr
_cell_length_a 6.514
_cell_length_b 6.514
_cell_length_c 6.514
_cell_angle_alpha 90.00
_cell_angle_beta 90.00
_cell_angle_gamma 90.00
_space_group_name_H-M_alt 'F m -3 m'
_space_group_IT_number 225
_space_group_name_Hall '-F 4 2 3'
loop_
_atom_site_label
_atom_site_fract_x
_atom_site_fract_y
_atom_site_fract_z
Nb1 0.250 0.250 0.250
Os1 0.000 0.000 0.000
Br1 0.000 0.000 0.500
```

Values from the calculation:
Density ... 11.0 Mg/m³
Fermi-level density of states ... 24.45 states/eV/cell

=====

*Q*
The following is a PBE calculation of crystalline Nb2OsBr at its relaxed geometry, from Alexandria.

```
data_Nb2OsBr
_cell_length_a 7.136
_cell_length_b 7.136
_cell_length_c 5.981
_cell_angle_alpha 90.00
_cell_angle_beta 90.00
_cell_angle_gamma 90.00
_space_group_name_H-M_alt 'I -4 2 d'
_space_group_IT_number 122
_space_group_name_Hall 'I -4 2bw'
loop_
_atom_site_label
_atom_site_fract_x
_atom_site_fract_y
_atom_site_fract_z
Nb1 0.239 0.250 0.125
Os1 0.000 0.000 0.000
Br1 0.000 0.000 0.500
```

Values from the calculation:
Density ... 9.9 Mg/m³
Fermi-level density of states ... 17.10 states/eV/cell

=====

Result of the stability comparison: *Q* is the least stable of them.

=====

*P*
The following is a PBE calculation of crystalline NbOsSe2Br at its relaxed geometry, from Alexandria.

```
data_NbOsSe2Br
_cell_length_a 5.037
_cell_length_b 5.037
_cell_length_c 5.147
_cell_angle_alpha 90.00
_cell_angle_beta 90.00
_cell_angle_gamma 90.00
_space_group_name_H-M_alt 'P 4/m m m'
_space_group_IT_number 123
_space_group_name_Hall '-P 4 2'
loop_
_atom_site_label
_atom_site_fract_x
_atom_site_fract_y
_atom_site_fract_z
Nb1 0.000 0.000 0.000
Os1 0.500 0.500 0.500
Se1 0.000 0.500 0.000
Br1 0.000 0.000 0.500
```

Values from the calculation:
Density ... 6.6 Mg/m³
Fermi-level density of states ... 5.72 states/eV/cell

=====

*Q*
The following is a PBE calculation of crystalline NbOsSe2Br at its relaxed geometry, from Alexandria.

```
data_NbOsSe2Br
_cell_length_a 4.841
_cell_length_b 4.841
_cell_length_c 5.047
_cell_angle_alpha 90.00
_cell_angle_beta 90.00
_cell_angle_gamma 90.00
_space_group_name_H-M_alt 'P 4/m m m'
_space_group_IT_number 123
_space_group_name_Hall '-P 4 2'
loop_
_atom_site_label
_atom_site_fract_x
_atom_site_fract_y
_atom_site_fract_z
Nb1 0.000 0.000 0.000
Os1 0.500 0.500 0.500
Se1 0.000 0.500 0.500
Br1 0.500 0.500 0.000
```

Values from the calculation:
Density ... 7.3 Mg/m³
Fermi-level density of states ... 5.92 states/eV/cell

=====

Result of the stability comparison: *P* is the least stable of them.

=====

*P*
The following is a PBE calculation of crystalline Nb3PbBr at its relaxed geometry, from Alexandria.

```
data_Nb3PbBr
_cell_length_a 4.794
_cell_length_b 4.794
_cell_length_c 4.794
_cell_angle_alpha 90.00
_cell_angle_beta 90.00
_cell_angle_gamma 90.00
_space_group_name_H-M_alt 'P m -3 m'
_space_group_IT_number 221
_space_group_name_Hall '-P 4 2 3'
loop_
_atom_site_label
_atom_site_fract_x
_atom_site_fract_y
_atom_site_fract_z
Nb1 0.000 0.000 0.500
Pb1 0.500 0.500 0.500
Br1 0.000 0.000 0.000
```

Values from the calculation:
Density ... 8.5 Mg/m³
Fermi-level density of states ... 3.60 states/eV/cell

=====

*Q*
The following is a PBE calculation of crystalline Nb3PbBr at its relaxed geometry, from Alexandria.

```
data_Nb3PbBr
_cell_length_a 5.252
_cell_length_b 5.252
_cell_length_c 5.252
_cell_angle_alpha 90.00
_cell_angle_beta 90.00
_cell_angle_gamma 90.00
_space_group_name_H-M_alt 'P m -3 m'
_space_group_IT_number 221
_space_group_name_Hall '-P 4 2 3'
loop_
_atom_site_label
_atom_site_fract_x
_atom_site_fract_y
_atom_site_fract_z
Nb1 0.000 0.000 0.500
Pb1 0.000 0.000 0.000
Br1 0.500 0.500 0.500
```

Values from the calculation:
Density ... 6.5 Mg/m³
Fermi-level density of states ... 10.92 states/eV/cell

=====

Result of the stability comparison: *Q* is the least stable of them.

=====

*P*
The following is a PBE calculation of crystalline NbPbBr2 at its relaxed geometry, from Alexandria.

```
data_NbPbBr2
_cell_length_a 7.194
_cell_length_b 7.194
_cell_length_c 7.194
_cell_angle_alpha 90.00
_cell_angle_beta 90.00
_cell_angle_gamma 90.00
_space_group_name_H-M_alt 'F m -3 m'
_space_group_IT_number 225
_space_group_name_Hall '-F 4 2 3'
loop_
_atom_site_label
_atom_site_fract_x
_atom_site_fract_y
_atom_site_fract_z
Nb1 0.000 0.000 0.000
Pb1 0.000 0.000 0.500
Br1 0.250 0.250 0.250
```

Values from the calculation:
Density ... 8.2 Mg/m³
Fermi-level density of states ... 13.39 states/eV/cell

=====

*Q*
The following is a PBE calculation of crystalline NbPbBr2 at its relaxed geometry, from Alexandria.

```
data_NbPbBr2
_cell_length_a 9.156
_cell_length_b 9.156
_cell_length_c 5.831
_cell_angle_alpha 90.00
_cell_angle_beta 90.00
_cell_angle_gamma 90.00
_space_group_name_H-M_alt 'I -4 2 d'
_space_group_IT_number 122
_space_group_name_Hall 'I -4 2bw'
loop_
_atom_site_label
_atom_site_fract_x
_atom_site_fract_y
_atom_site_fract_z
Nb1 0.000 0.000 0.000
Pb1 0.000 0.000 0.500
Br1 0.126 0.250 0.125
```

Values from the calculation:
Density ... 6.2 Mg/m³
Fermi-level density of states ... 17.67 states/eV/cell

=====

Result of the stability comparison: *P* is the least stable of them.

=====

*P*
The following is a PBE calculation of crystalline Nb2Pb2Br at its relaxed geometry, from Alexandria.

```
data_Nb2Pb2Br
_cell_length_a 4.460
_cell_length_b 4.460
_cell_length_c 13.044
_cell_angle_alpha 90.00
_cell_angle_beta 90.00
_cell_angle_gamma 90.00
_space_group_name_H-M_alt 'I 4/m m m'
_space_group_IT_number 139
_space_group_name_Hall '-I 4 2'
loop_
_atom_site_label
_atom_site_fract_x
_atom_site_fract_y
_atom_site_fract_z
Nb1 0.000 0.000 0.092
Pb1 0.000 0.500 0.250
Br1 0.000 0.000 0.500
```

Values from the calculation:
Density ... 8.7 Mg/m³
Fermi-level density of states ... 11.57 states/eV/cell

=====

*Q*
The following is a PBE calculation of crystalline Nb2Pb2Br at its relaxed geometry, from Alexandria.

```
data_Nb2Pb2Br
_cell_length_a 8.142
_cell_length_b 8.142
_cell_length_c 3.604
_cell_angle_alpha 90.00
_cell_angle_beta 90.00
_cell_angle_gamma 90.00
_space_group_name_H-M_alt 'P 4/m b m'
_space_group_IT_number 127
_space_group_name_Hall '-P 4 2ab'
loop_
_atom_site_label
_atom_site_fract_x
_atom_site_fract_y
_atom_site_fract_z
Nb1 0.114 0.386 0.000
Pb1 0.175 0.675 0.500
Br1 0.000 0.000 0.000
```

Values from the calculation:
Density ... 9.5 Mg/m³
Fermi-level density of states ... 6.03 states/eV/cell

=====

Result of the stability comparison: *P* is the least stable of them.